Here is a PBEsol-optimized structure of LiSiPt from Alexandria via LeMat-Bulk. Energies are from SCAN.

Properties
Its uncorrected energy is -28.225 eV/atom. The calculation puts the magnetization at 0.0 μB/cell. For the density, the calculation gives 9.907 g/cm3. For the formation energy without anion corrections, the calculation gives -2.08 eV per formula unit. As for the space group: No. 107.

Unit cell a=4.503 b=4.503 c=4.503 alpha=139.22 beta=139.22 gamma=59.04
Element x y z (fractional)
Li (0.000, 0.000, 0.000)
Si (0.330, 0.330, 0.000)
Pt (0.672, 0.672, 0.000)

---

Here is a PBEsol-optimized structure of SrLi2Pt from Alexandria via LeMat-Bulk. Energies are from SCAN.

Properties
Its uncorrected energy is -24.720 eV/atom. The energy relative to the lowest polymorph listed for this composition comes out at 14.6 kJ per mole of atoms. The calculation puts the magnetization at 0.0 μB/cell. For the density, the calculation gives 6.490 g/cm3. As for the space group: No. 225.

Unit cell a=4.752 b=4.752 c=4.752 alpha=60.00 beta=60.00 gamma=60.00
Element x y z (fractional)
Sr (0.000, 0.000, 0.000)
Li (0.250, 0.250, 0.250)
Li (0.750, 0.750, 0.750)
Pt (0.500, 0.500, 0.500)

---

Here is a PBEsol-optimized structure of Sr2LiPt2 from Alexandria via LeMat-Bulk. Energies are from SCAN.

Properties
Its uncorrected energy is -38.019 eV/atom. The energy relative to the lowest polymorph listed for this composition comes out at 15.7 kJ per mole of atoms. The calculation puts the magnetization at 0.0 μB/cell. For the density, the calculation gives 7.144 g/cm3. As for the space group: No. 139.

Unit cell a=5.693 b=5.693 c=5.693 alpha=118.64 beta=118.64 gamma=92.37
Element x y z (fractional)
Sr (0.250, 0.750, 0.500)
Sr (0.750, 0.250, 0.500)
Li (0.000, 0.000, 0.000)
Pt (0.334, 0.334, 0.000)
Pt (0.666, 0.666, 0.000)

---

Here is a PBEsol-optimized structure of SrLi2Pt2 from Alexandria via LeMat-Bulk. Energies are from SCAN.

Properties
Its uncorrected energy is -34.159 eV/atom. The calculation puts the magnetization at 0.0 μB/cell. For the density, the calculation gives 8.581 g/cm3. As for the space group: No. 139.

Unit cell a=6.321 b=6.321 c=6.321 alpha=141.98 beta=141.98 gamma=54.86
Element x y z (fractional)
Sr (0.000, 0.000, 0.000)
Li (0.250, 0.750, 0.500)
Li (0.750, 0.250, 0.500)
Pt (0.385, 0.385, 0.000)
Pt (0.615, 0.615, 0.000)

---

Here is a PBEsol-optimized structure of SrLi2Pt from Alexandria via LeMat-Bulk. Energies are from SCAN.

Properties
Its uncorrected energy is -24.792 eV/atom. The energy relative to the lowest polymorph listed for this composition comes out at 7.7 kJ per mole of atoms. The calculation puts the magnetization at 0.0 μB/cell. For the density, the calculation gives 5.889 g/cm3. As for the space group: No. 166.

Unit cell a=5.670 b=5.670 c=5.670 alpha=45.22 beta=45.22 gamma=45.22
Element x y z (fractional)
Sr (0.000, 0.000, 0.000)
Li (0.201, 0.201, 0.201)
Li (0.799, 0.799, 0.799)
Pt (0.500, 0.500, 0.500)

---

Here is a PBEsol-optimized structure of SrLi2Pt from Alexandria via LeMat-Bulk. Energies are from SCAN.

Properties
Its uncorrected energy is -24.792 eV/atom. The energy relative to the lowest polymorph listed for this composition comes out at 7.7 kJ per mole of atoms. The calculation puts the magnetization at 0.0 μB/cell. For the density, the calculation gives 5.960 g/cm3. As for the space group: No. 12.

Unit cell a=4.818 b=4.818 c=5.063 alpha=105.34 beta=105.34 gamma=47.26
Element x y z (fractional)
Sr (0.000, 0.000, 0.000)
Li (0.209, 0.209, 0.628)
Li (0.791, 0.791, 0.372)
Pt (0.500, 0.500, 0.500)

---

Here is a PBEsol-optimized structure of SrLi2Pt from Alexandria via LeMat-Bulk. Energies are from SCAN.

Properties
Its uncorrected energy is -24.565 eV/atom. The energy relative to the lowest polymorph listed for this composition comes out at 29.6 kJ per mole of atoms. The calculation puts the magnetization at 0.0 μB/cell. For the density, the calculation gives 6.386 g/cm3. As for the space group: No. 47.

Unit cell a=3.157 b=3.987 c=6.126 alpha=90.00 beta=90.00 gamma=90.00
Element x y z (fractional)
Sr (0.000, 0.000, 0.000)
Li (0.500, 0.500, 0.324)
Li (0.500, 0.500, 0.676)
Pt (0.000, 0.000, 0.500)

---

Here is a PBEsol-optimized structure of Sr3LiPt from Alexandria via LeMat-Bulk. Energies are from SCAN.

Properties
Its uncorrected energy is -28.348 eV/atom. The calculation puts the magnetization at 0.0 μB/cell. For the density, the calculation gives 3.820 g/cm3. As for the space group: No. 221.

Unit cell a=5.868 b=5.868 c=5.868 alpha=90.00 beta=90.00 gamma=90.00
Element x y z (fractional)
Sr (0.000, 0.000, 0.500)
Sr (0.000, 0.500, 0.000)
Sr (0.500, 0.000, 0.000)
Li (0.500, 0.500, 0.500)
Pt (0.000, 0.000, 0.000)

---

Here is a PBEsol-optimized structure of SrLi2Pt from Alexandria via LeMat-Bulk. Energies are from SCAN.

Properties
Its uncorrected energy is -24.871 eV/atom. The energy relative to the lowest polymorph listed for this composition comes out at 0.0 kJ per mole of atoms. The calculation puts the magnetization at 0.0 μB/cell. For the density, the calculation gives 5.668 g/cm3. As for the space group: No. 160.

Unit cell a=5.781 b=5.781 c=5.781 alpha=44.68 beta=44.68 gamma=44.68
Element x y z (fractional)
Sr (0.000, 0.000, 0.000)
Li (0.520, 0.520, 0.520)
Li (0.809, 0.809, 0.809)
Pt (0.204, 0.204, 0.204)

---

Here is a PBEsol-optimized structure of SrLiPt from Alexandria via LeMat-Bulk. Energies are from SCAN.

Properties
Its uncorrected energy is -31.647 eV/atom. The energy relative to the lowest polymorph listed for this composition comes out at 60.4 kJ per mole of atoms. The calculation puts the magnetization at 0.0 μB/cell. For the density, the calculation gives 6.050 g/cm3. As for the space group: No. 216.

Unit cell a=4.827 b=4.827 c=4.827 alpha=60.00 beta=60.00 gamma=60.00
Element x y z (fractional)
Sr (0.000, 0.000, 0.000)
Li (0.750, 0.750, 0.750)
Pt (0.250, 0.250, 0.250)

---

Here is a PBEsol-optimized structure of Sr2LiPt2 from Alexandria via LeMat-Bulk. Energies are from SCAN.

Properties
Its uncorrected energy is -38.181 eV/atom. The energy relative to the lowest polymorph listed for this composition comes out at 0.0 kJ per mole of atoms. The calculation puts the magnetization at 0.0 μB/cell. For the density, the calculation gives 7.738 g/cm3. As for the space group: No. 127.

Unit cell a=7.610 b=7.610 c=4.242 alpha=90.00 beta=90.00 gamma=90.00
Element x y z (fractional)
Sr (0.171, 0.329, 0.000)
Sr (0.329, 0.829, 0.000)
Sr (0.671, 0.171, 0.000)
Sr (0.829, 0.671, 0.000)
Li (0.000, 0.000, 0.500)
Li (0.500, 0.500, 0.500)
Pt (0.125, 0.625, 0.500)
Pt (0.375, 0.125, 0.500)
Pt (0.625, 0.875, 0.500)
Pt (0.875, 0.375, 0.500)

---

Here is a PBEsol-optimized structure of SrLi2Pt from Alexandria via LeMat-Bulk. Energies are from SCAN.

Properties
Its uncorrected energy is -24.786 eV/atom. The energy relative to the lowest polymorph listed for this composition comes out at 8.2 kJ per mole of atoms. The calculation puts the magnetization at 0.0 μB/cell. For the density, the calculation gives 5.153 g/cm3. As for the space group: No. 6.

Unit cell a=3.936 b=4.029 c=6.306 alpha=90.00 beta=107.15 gamma=90.00
Element x y z (fractional)
Sr (0.000, 0.000, 0.000)
Li (0.292, 0.000, 0.556)
Li (0.767, 0.500, 0.509)
Pt (0.405, 0.500, 0.798)

---

Here is a PBEsol-optimized structure of Sr2Li2Pt from Alexandria via LeMat-Bulk. Energies are from SCAN.

Properties
Its uncorrected energy is -24.100 eV/atom. The calculation puts the magnetization at 0.0 μB/cell. For the density, the calculation gives 5.150 g/cm3. As for the space group: No. 127.

Unit cell a=7.129 b=7.129 c=4.876 alpha=90.00 beta=90.00 gamma=90.00
Element x y z (fractional)
Sr (0.196, 0.304, 0.000)
Sr (0.304, 0.804, 0.000)
Sr (0.696, 0.196, 0.000)
Sr (0.804, 0.696, 0.000)
Li (0.138, 0.638, 0.500)
Li (0.362, 0.138, 0.500)
Li (0.638, 0.862, 0.500)
Li (0.862, 0.362, 0.500)
Pt (0.000, 0.000, 0.500)
Pt (0.500, 0.500, 0.500)

---

Here is a PBEsol-optimized structure of SrLi2Pt from Alexandria via LeMat-Bulk. Energies are from SCAN.

Properties
Its uncorrected energy is -24.709 eV/atom. The energy relative to the lowest polymorph listed for this composition comes out at 15.7 kJ per mole of atoms. The calculation puts the magnetization at 0.0 μB/cell. For the density, the calculation gives 5.440 g/cm3. As for the space group: No. 10.

Unit cell a=4.337 b=4.818 c=4.354 alpha=90.00 beta=95.63 gamma=90.00
Element x y z (fractional)
Sr (0.000, 0.000, 0.000)
Li (0.319, 0.500, 0.680)
Li (0.681, 0.500, 0.320)
Pt (0.500, 0.000, 0.500)

---

Here is a PBEsol-optimized structure of SrLiPt from Alexandria via LeMat-Bulk. Energies are from SCAN.

Properties
Its uncorrected energy is -32.273 eV/atom. The energy relative to the lowest polymorph listed for this composition comes out at 0.0 kJ per mole of atoms. The calculation puts the magnetization at 0.0 μB/cell. For the density, the calculation gives 7.160 g/cm3. As for the space group: No. 187.

Unit cell a=4.346 b=4.346 c=4.107 alpha=90.00 beta=90.00 gamma=120.00
Element x y z (fractional)
Sr (0.000, 0.000, 0.000)
Li (0.667, 0.333, 0.500)
Pt (0.333, 0.667, 0.500)